A geometry-optimized Dy2GaPd5 structure. Source: Alexandria, functional PBE-GGA.

Summary:
* DFT total energy: -5.5944 eV per atom
* formation energy: -0.820 eV per atom

a = 5.8920 Å, b = 5.8920 Å, c = 5.8920 Å
α = 90.13°, β = 119.92°, γ = 119.92°
Sites, in units of the cell vectors:
Dy 0.5000 0.2640 0.7640
Dy 0.5000 0.7640 0.2640
Ga 0.0000 0.8488 0.8488
Pd 0.4821 0.7609 0.7609
Pd 0.0000 0.7609 0.2788
Pd 0.0000 0.2788 0.7609
Pd 0.5179 0.2788 0.2788
Pd 0.0000 0.2660 0.2660